#A
# BaGaI4, optimized geometry, DFT PBE
# V: 318 Å³/f.u.
data_BaGaI4
_space_group_name_H-M_alt 'P 1 21/m 1'
_space_group_IT_number 11
_space_group_name_Hall '-P 2yb'
_cell_length_a 6.948
_cell_length_b 11.376
_cell_length_c 8.444
_cell_angle_alpha 90.00
_cell_angle_beta 107.70
_cell_angle_gamma 90.00
loop_
_atom_site_label
_atom_site_type_symbol
_atom_site_fract_x
_atom_site_fract_y
_atom_site_fract_z
Ba1 Ba 0.102 0.250 0.137
Ga1 Ga 0.321 0.750 0.424
I1 I 0.130 0.568 0.202
I2 I 0.279 0.250 0.567
I3 I 0.370 0.750 0.780

***

#B
# BaGaI4, optimized geometry, DFT PBE
# V: 272 Å³/f.u.
data_BaGaI4
_space_group_name_H-M_alt 'I -4'
_space_group_IT_number 82
_space_group_name_Hall 'I -4'
_cell_length_a 7.956
_cell_length_b 7.956
_cell_length_c 8.605
_cell_angle_alpha 90.00
_cell_angle_beta 90.00
_cell_angle_gamma 90.00
loop_
_atom_site_label
_atom_site_type_symbol
_atom_site_fract_x
_atom_site_fract_y
_atom_site_fract_z
Ba1 Ba 0.000 0.000 0.000
Ga1 Ga 0.000 0.500 0.750
I1 I 0.201 0.221 0.653

***

Which structure is most stable? #A, by 6.0 kJ/mol of atoms over the runner-up.

***

#A
# BaLi2GaI, optimized geometry, DFT PBE
# V: 182 Å³/f.u.
data_BaLi2GaI
_space_group_name_H-M_alt 'P 4/m m m'
_space_group_IT_number 123
_space_group_name_Hall '-P 4 2'
_cell_length_a 5.176
_cell_length_b 5.176
_cell_length_c 6.809
_cell_angle_alpha 90.00
_cell_angle_beta 90.00
_cell_angle_gamma 90.00
loop_
_atom_site_label
_atom_site_type_symbol
_atom_site_fract_x
_atom_site_fract_y
_atom_site_fract_z
Ba1 Ba 0.000 0.000 0.000
Li1 Li 0.000 0.500 0.500
Ga1 Ga 0.500 0.500 0.000
I1 I 0.000 0.000 0.500

***

#B
# BaLi2GaI, optimized geometry, DFT PBE
# V: 172 Å³/f.u.
data_BaLi2GaI
_space_group_name_H-M_alt 'P 4/m m m'
_space_group_IT_number 123
_space_group_name_Hall '-P 4 2'
_cell_length_a 5.199
_cell_length_b 5.199
_cell_length_c 6.358
_cell_angle_alpha 90.00
_cell_angle_beta 90.00
_cell_angle_gamma 90.00
loop_
_atom_site_label
_atom_site_type_symbol
_atom_site_fract_x
_atom_site_fract_y
_atom_site_fract_z
Ba1 Ba 0.000 0.000 0.000
Li1 Li 0.000 0.500 0.500
Ga1 Ga 0.000 0.000 0.500
I1 I 0.500 0.500 0.000

***

Which structure is most stable? #B, by 16.0 kJ/mol of atoms over the runner-up.

***

#A
# BaGaI2N, optimized geometry, DFT PBE
# V: 142 Å³/f.u.
data_BaGaI2N
_space_group_name_H-M_alt 'P 4/m m m'
_space_group_IT_number 123
_space_group_name_Hall '-P 4 2'
_cell_length_a 6.175
_cell_length_b 6.175
_cell_length_c 3.730
_cell_angle_alpha 90.00
_cell_angle_beta 90.00
_cell_angle_gamma 90.00
loop_
_atom_site_label
_atom_site_type_symbol
_atom_site_fract_x
_atom_site_fract_y
_atom_site_fract_z
Ba1 Ba 0.000 0.000 0.000
Ga1 Ga 0.500 0.500 0.500
I1 I 0.000 0.500 0.500
N1 N 0.500 0.500 0.000

***

#B
# BaGaI2N, optimized geometry, DFT PBE
# V: 240 Å³/f.u.
data_BaGaI2N
_space_group_name_H-M_alt 'P 4/m m m'
_space_group_IT_number 123
_space_group_name_Hall '-P 4 2'
_cell_length_a 6.807
_cell_length_b 6.807
_cell_length_c 5.182
_cell_angle_alpha 90.00
_cell_angle_beta 90.00
_cell_angle_gamma 90.00
loop_
_atom_site_label
_atom_site_type_symbol
_atom_site_fract_x
_atom_site_fract_y
_atom_site_fract_z
Ba1 Ba 0.000 0.000 0.000
Ga1 Ga 0.500 0.500 0.500
I1 I 0.000 0.500 0.000
N1 N 0.000 0.000 0.500

***

Which structure is most stable? #A, by 42.8 kJ/mol of atoms over the runner-up.

***

#A
# BaGaIO2, optimized geometry, DFT PBE
# V: 105 Å³/f.u.
data_BaGaIO2
_space_group_name_H-M_alt 'P 4/m m m'
_space_group_IT_number 123
_space_group_name_Hall '-P 4 2'
_cell_length_a 4.457
_cell_length_b 4.457
_cell_length_c 5.281
_cell_angle_alpha 90.00
_cell_angle_beta 90.00
_cell_angle_gamma 90.00
loop_
_atom_site_label
_atom_site_type_symbol
_atom_site_fract_x
_atom_site_fract_y
_atom_site_fract_z
Ba1 Ba 0.000 0.000 0.000
Ga1 Ga 0.500 0.500 0.500
I1 I 0.500 0.500 0.000
O1 O 0.000 0.500 0.500

***

#B
# BaGaIO2, optimized geometry, DFT PBE
# V: 178 Å³/f.u.
data_BaGaIO2
_space_group_name_H-M_alt 'P 4/m m m'
_space_group_IT_number 123
_space_group_name_Hall '-P 4 2'
_cell_length_a 4.927
_cell_length_b 4.927
_cell_length_c 7.334
_cell_angle_alpha 90.00
_cell_angle_beta 90.00
_cell_angle_gamma 90.00
loop_
_atom_site_label
_atom_site_type_symbol
_atom_site_fract_x
_atom_site_fract_y
_atom_site_fract_z
Ba1 Ba 0.000 0.000 0.000
Ga1 Ga 0.500 0.500 0.500
I1 I 0.000 0.000 0.500
O1 O 0.000 0.500 0.000

***

Which structure is most stable? #A, by 41.7 kJ/mol of atoms over the runner-up.

***

#A
# BaGaTeI2, optimized geometry, DFT PBE
# V: 302 Å³/f.u.
data_BaGaTeI2
_space_group_name_H-M_alt 'P 4/m m m'
_space_group_IT_number 123
_space_group_name_Hall '-P 4 2'
_cell_length_a 6.692
_cell_length_b 6.692
_cell_length_c 6.750
_cell_angle_alpha 90.00
_cell_angle_beta 90.00
_cell_angle_gamma 90.00
loop_
_atom_site_label
_atom_site_type_symbol
_atom_site_fract_x
_atom_site_fract_y
_atom_site_fract_z
Ba1 Ba 0.000 0.000 0.000
Ga1 Ga 0.500 0.500 0.500
Te1 Te 0.000 0.000 0.500
I1 I 0.000 0.500 0.000

***

#B
# BaGaTeI2, optimized geometry, DFT PBE
# V: 190 Å³/f.u.
data_BaGaTeI2
_space_group_name_H-M_alt 'P 4/m m m'
_space_group_IT_number 123
_space_group_name_Hall '-P 4 2'
_cell_length_a 5.826
_cell_length_b 5.826
_cell_length_c 5.584
_cell_angle_alpha 90.00
_cell_angle_beta 90.00
_cell_angle_gamma 90.00
loop_
_atom_site_label
_atom_site_type_symbol
_atom_site_fract_x
_atom_site_fract_y
_atom_site_fract_z
Ba1 Ba 0.000 0.000 0.000
Ga1 Ga 0.500 0.500 0.500
Te1 Te 0.500 0.500 0.000
I1 I 0.000 0.500 0.500

***

Which structure is most stable? #B, by 37.1 kJ/mol of atoms over the runner-up.

***

#A
# Ba3InGa, optimized geometry, DFT PBE
# V: 211 Å³/f.u.
data_Ba3InGa
_space_group_name_H-M_alt 'C m c m'
_space_group_IT_number 63
_space_group_name_Hall '-C 2c 2'
_cell_length_a 6.022
_cell_length_b 23.291
_cell_length_c 6.019
_cell_angle_alpha 90.00
_cell_angle_beta 90.00
_cell_angle_gamma 90.00
loop_
_atom_site_label
_atom_site_type_symbol
_atom_site_fract_x
_atom_site_fract_y
_atom_site_fract_z
Ba1 Ba 0.000 0.079 0.250
Ba2 Ba 0.000 0.250 0.250
Ba3 Ba 0.000 0.421 0.250
In1 In 0.000 0.161 0.750
Ga1 Ga 0.000 0.340 0.750

***

#B
# Ba3InGa, optimized geometry, DFT PBE
# V: 261 Å³/f.u.
data_Ba3InGa
_space_group_name_H-M_alt 'P m -3 m'
_space_group_IT_number 221
_space_group_name_Hall '-P 4 2 3'
_cell_length_a 6.389
_cell_length_b 6.389
_cell_length_c 6.389
_cell_angle_alpha 90.00
_cell_angle_beta 90.00
_cell_angle_gamma 90.00
loop_
_atom_site_label
_atom_site_type_symbol
_atom_site_fract_x
_atom_site_fract_y
_atom_site_fract_z
Ba1 Ba 0.000 0.000 0.500
In1 In 0.500 0.500 0.500
Ga1 Ga 0.000 0.000 0.000

***

#C
# Ba3InGa, optimized geometry, DFT PBE
# V: 218 Å³/f.u.
data_Ba3InGa
_space_group_name_H-M_alt 'C 1 2/m 1'
_space_group_IT_number 12
_space_group_name_Hall '-C 2y'
_cell_length_a 19.032
_cell_length_b 4.548
_cell_length_c 10.083
_cell_angle_alpha 90.00
_cell_angle_beta 90.76
_cell_angle_gamma 90.00
loop_
_atom_site_label
_atom_site_type_symbol
_atom_site_fract_x
_atom_site_fract_y
_atom_site_fract_z
Ba1 Ba 0.053 0.000 0.317
Ba2 Ba 0.104 0.500 0.947
Ba3 Ba 0.240 0.000 0.692
In1 In 0.094 0.500 0.581
Ga1 Ga 0.222 0.000 0.056

***

Which structure is most stable? #A, by 0.6 kJ/mol of atoms over the runner-up.

***

#A
# Ba4InGa, optimized geometry, DFT PBE
# V: 276 Å³/f.u.
data_Ba4InGa
_space_group_name_H-M_alt 'P 4/m m m'
_space_group_IT_number 123
_space_group_name_Hall '-P 4 2'
_cell_length_a 4.263
_cell_length_b 4.263
_cell_length_c 15.160
_cell_angle_alpha 90.00
_cell_angle_beta 90.00
_cell_angle_gamma 90.00
loop_
_atom_site_label
_atom_site_type_symbol
_atom_site_fract_x
_atom_site_fract_y
_atom_site_fract_z
Ba1 Ba 0.000 0.000 0.123
Ba2 Ba 0.500 0.500 0.366
In1 In 0.000 0.000 0.500
Ga1 Ga 0.500 0.500 0.000

***

#B
# Ba4InGa, optimized geometry, DFT PBE
# V: 342 Å³/f.u.
data_Ba4InGa
_space_group_name_H-M_alt 'C m m m'
_space_group_IT_number 65
_space_group_name_Hall '-C 2 2'
_cell_length_a 11.326
_cell_length_b 11.534
_cell_length_c 5.237
_cell_angle_alpha 90.00
_cell_angle_beta 90.00
_cell_angle_gamma 90.00
loop_
_atom_site_label
_atom_site_type_symbol
_atom_site_fract_x
_atom_site_fract_y
_atom_site_fract_z
Ba1 Ba 0.000 0.210 0.000
Ba2 Ba 0.191 0.500 0.500
In1 In 0.000 0.000 0.500
Ga1 Ga 0.000 0.500 0.000

***

Which structure is most stable? #A, by 16.6 kJ/mol of atoms over the runner-up.

***

#A
# BaIn3Ga, optimized geometry, DFT PBE
# V: 145 Å³/f.u.
data_BaIn3Ga
_space_group_name_H-M_alt 'I 4 m m'
_space_group_IT_number 107
_space_group_name_Hall 'I 4 -2'
_cell_length_a 4.914
_cell_length_b 4.914
_cell_length_c 11.984
_cell_angle_alpha 90.00
_cell_angle_beta 90.00
_cell_angle_gamma 90.00
loop_
_atom_site_label
_atom_site_type_symbol
_atom_site_fract_x
_atom_site_fract_y
_atom_site_fract_z
Ba1 Ba 0.000 0.000 0.000
In1 In 0.000 0.000 0.612
In2 In 0.000 0.500 0.258
Ga1 Ga 0.000 0.000 0.383

***

#B
# BaIn3Ga, optimized geometry, DFT PBE
# V: 164 Å³/f.u.
data_BaIn3Ga
_space_group_name_H-M_alt 'P m -3 m'
_space_group_IT_number 221
_space_group_name_Hall '-P 4 2 3'
_cell_length_a 5.476
_cell_length_b 5.476
_cell_length_c 5.476
_cell_angle_alpha 90.00
_cell_angle_beta 90.00
_cell_angle_gamma 90.00
loop_
_atom_site_label
_atom_site_type_symbol
_atom_site_fract_x
_atom_site_fract_y
_atom_site_fract_z
Ba1 Ba 0.000 0.000 0.000
In1 In 0.000 0.500 0.500
Ga1 Ga 0.500 0.500 0.500

***

Which structure is most stable? #A, by 27.1 kJ/mol of atoms over the runner-up.

***

#A
# BaIn3Ga, optimized geometry, DFT PBE
# V: 263 Å³/f.u.
data_BaIn3Ga
_space_group_name_H-M_alt 'P m -3 m'
_space_group_IT_number 221
_space_group_name_Hall '-P 4 2 3'
_cell_length_a 6.406
_cell_length_b 6.406
_cell_length_c 6.406
_cell_angle_alpha 90.00
_cell_angle_beta 90.00
_cell_angle_gamma 90.00
loop_
_atom_site_label
_atom_site_type_symbol
_atom_site_fract_x
_atom_site_fract_y
_atom_site_fract_z
Ba1 Ba 0.000 0.000 0.000
In1 In 0.000 0.000 0.500
Ga1 Ga 0.500 0.500 0.500

***

#B
# BaIn3Ga, optimized geometry, DFT PBE
# V: 149 Å³/f.u.
data_BaIn3Ga
_space_group_name_H-M_alt 'P n m a'
_space_group_IT_number 62
_space_group_name_Hall '-P 2ac 2n'
_cell_length_a 10.222
_cell_length_b 4.836
_cell_length_c 12.035
_cell_angle_alpha 90.00
_cell_angle_beta 90.00
_cell_angle_gamma 90.00
loop_
_atom_site_label
_atom_site_type_symbol
_atom_site_fract_x
_atom_site_fract_y
_atom_site_fract_z
Ba1 Ba 0.184 0.250 0.004
In1 In 0.075 0.250 0.398
In2 In 0.111 0.750 0.220
In3 In 0.133 0.750 0.788
Ga1 Ga 0.116 0.250 0.636

***

Which structure is most stable? #B, by 109.8 kJ/mol of atoms over the runner-up.

***

#A
# Ba2In2Ga, optimized geometry, DFT PBE
# V: 183 Å³/f.u.
data_Ba2In2Ga
_space_group_name_H-M_alt 'C 1 2/m 1'
_space_group_IT_number 12
_space_group_name_Hall '-C 2y'
_cell_length_a 13.244
_cell_length_b 4.698
_cell_length_c 12.834
_cell_angle_alpha 90.00
_cell_angle_beta 113.72
_cell_angle_gamma 90.00
loop_
_atom_site_label
_atom_site_type_symbol
_atom_site_fract_x
_atom_site_fract_y
_atom_site_fract_z
Ba1 Ba 0.106 0.000 0.396
Ba2 Ba 0.208 0.500 0.140
In1 In 0.037 0.000 0.908
In2 In 0.115 0.500 0.619
Ga1 Ga 0.057 0.500 0.809

***

#B
# Ba2In2Ga, optimized geometry, DFT PBE
# V: 170 Å³/f.u.
data_Ba2In2Ga
_space_group_name_H-M_alt 'C 1 2/m 1'
_space_group_IT_number 12
_space_group_name_Hall '-C 2y'
_cell_length_a 13.223
_cell_length_b 5.185
_cell_length_c 10.843
_cell_angle_alpha 90.00
_cell_angle_beta 113.70
_cell_angle_gamma 90.00
loop_
_atom_site_label
_atom_site_type_symbol
_atom_site_fract_x
_atom_site_fract_y
_atom_site_fract_z
Ba1 Ba 0.111 0.000 0.393
Ba2 Ba 0.159 0.000 0.024
In1 In 0.037 0.500 0.150
In2 In 0.102 0.500 0.654
Ga1 Ga 0.224 0.000 0.739

***

Which structure is most stable? #A, by 4.3 kJ/mol of atoms over the runner-up.

***

#A
# BaInGa4, optimized geometry, DFT PBE
# V: 152 Å³/f.u.
data_BaInGa4
_space_group_name_H-M_alt 'P b a m'
_space_group_IT_number 55
_space_group_name_Hall '-P 2 2ab'
_cell_length_a 8.406
_cell_length_b 16.211
_cell_length_c 4.467
_cell_angle_alpha 90.00
_cell_angle_beta 90.00
_cell_angle_gamma 90.00
loop_
_atom_site_label
_atom_site_type_symbol
_atom_site_fract_x
_atom_site_fract_y
_atom_site_fract_z
Ba1 Ba 0.134 0.150 0.000
In1 In 0.145 0.409 0.000
Ga1 Ga 0.014 0.694 0.500
Ga2 Ga 0.113 0.548 0.500
Ga3 Ga 0.134 0.966 0.500
Ga4 Ga 0.207 0.812 0.500

***

#B
# BaInGa4, optimized geometry, DFT PBE
# V: 147 Å³/f.u.
data_BaInGa4
_space_group_name_H-M_alt 'F -4 3 m'
_space_group_IT_number 216
_space_group_name_Hall 'F -4 2 3'
_cell_length_a 8.384
_cell_length_b 8.384
_cell_length_c 8.384
_cell_angle_alpha 90.00
_cell_angle_beta 90.00
_cell_angle_gamma 90.00
loop_
_atom_site_label
_atom_site_type_symbol
_atom_site_fract_x
_atom_site_fract_y
_atom_site_fract_z
Ba1 Ba 0.000 0.000 0.000
In1 In 0.250 0.250 0.250
Ga1 Ga 0.125 0.125 0.625

***

Which structure is most stable? #A, by 11.2 kJ/mol of atoms over the runner-up.

***

#A
# Ba2InGa2, optimized geometry, DFT PBE
# V: 168 Å³/f.u.
data_Ba2InGa2
_space_group_name_H-M_alt 'I 4/m m m'
_space_group_IT_number 139
_space_group_name_Hall '-I 4 2'
_cell_length_a 3.899
_cell_length_b 3.899
_cell_length_c 22.058
_cell_angle_alpha 90.00
_cell_angle_beta 90.00
_cell_angle_gamma 90.00
loop_
_atom_site_label
_atom_site_type_symbol
_atom_site_fract_x
_atom_site_fract_y
_atom_site_fract_z
Ba1 Ba 0.000 0.000 0.110
In1 In 0.000 0.000 0.500
Ga1 Ga 0.000 0.500 0.250

***

#B
# Ba2InGa2, optimized geometry, DFT PBE
# V: 162 Å³/f.u.
data_Ba2InGa2
_space_group_name_H-M_alt 'C 1 2/c 1'
_space_group_IT_number 15
_space_group_name_Hall '-C 2yc'
_cell_length_a 11.166
_cell_length_b 6.643
_cell_length_c 9.072
_cell_angle_alpha 90.00
_cell_angle_beta 105.20
_cell_angle_gamma 90.00
loop_
_atom_site_label
_atom_site_type_symbol
_atom_site_fract_x
_atom_site_fract_y
_atom_site_fract_z
Ba1 Ba 0.143 0.143 0.141
In1 In 0.000 0.379 0.750
Ga1 Ga 0.149 0.357 0.498

***

Which structure is most stable? #B, by 15.1 kJ/mol of atoms over the runner-up.